## Mo3HI (PBE)

Data for Mo3HI after structural relaxation.

The structure belongs to space group Pm-3m (No. 221); the cell edges are 4.1557, 4.1557 and 4.1557 Å and the angles 90.00°, 90.00° and 90.00°. The inequivalent atoms are Mo at (0.0000, 0.0000, 0.5000), H at (0.0000, 0.0000, 0.0000) and I at (0.5000, 0.5000, 0.5000).

As for the excess energy over the best structure of this formula in the dataset: 0.00 eV/f.u.

***

## RbSrCdO2 (PBE)

Data for RbSrCdO2 after structural relaxation.

The structure belongs to space group P2/c (No. 13); the cell edges are 7.9228, 6.5706 and 7.2296 Å and the angles 90.00°, 114.04° and 90.00°. The inequivalent atoms are Rb at (0.0000, 0.2178, 0.2500), Sr at (0.5000, 0.4975, 0.7500), Cd at (0.5000, 0.0000, 0.0000) and O at (0.3766, 0.2879, 0.4430).

The total energy comes out at -40.84 eV per cell.

***

## Li3BeN2 (PBE)

Data for Li3BeN2 after structural relaxation.

The structure belongs to space group Ibam (No. 72); the cell edges are 4.7375, 9.4665 and 4.9118 Å and the angles 90.00°, 90.00° and 90.00°. The inequivalent atoms are Li at (0.0000, 0.0000, 0.2500), Li at (0.0000, 0.2502, 0.2500), Be at (0.0000, 0.5000, 0.0000) and N at (0.2343, 0.3822, 0.0000).

The total energy comes out at -113.29 eV per cell.

***

## Sc4GeAu2 (PBE)

Data for Sc4GeAu2 after structural relaxation.

The structure belongs to space group I4/mmm (No. 139); the cell edges are 5.0313, 5.0313 and 13.6155 Å and the angles 90.00°, 90.00° and 90.00°. The inequivalent atoms are Sc at (0.0000, 0.0000, 0.1917), Sc at (0.0000, 0.5000, 0.0000), Ge at (0.0000, 0.0000, 0.0000) and Au at (0.0000, 0.0000, 0.3879).

As for the formation energy: -299 meV/atom.

***

## K2TlPb2 (PBE)

Data for K2TlPb2 after structural relaxation.

The structure belongs to space group C2/c (No. 15); the cell edges are 11.4244, 7.0341 and 10.1382 Å and the angles 90.00°, 100.66° and 90.00°. The inequivalent atoms are K at (0.1523, 0.1281, 0.1596), Tl at (0.0000, 0.3846, 0.7500) and Pb at (0.1289, 0.3629, 0.5029).

As for the formation energy: -104 meV/atom. As for the excess energy over the best structure of this formula in the dataset: 0.00 eV/f.u.